# Tb5Ho2Cd (PBE, relaxed)
# Calculated formation energy: -0.0352 eV per atom
# Energy: -4.188 eV per atom
# ΔE to the lowest computed polymorph: 0 meV per atom
# Total magnetization: 0.00 μB per formula unit
# D(E_F): 20.1 states/eV/cell
data_Tb5Ho2Cd
_chemical_formula_sum 'Tb10 Ho4 Cd2'
_space_group_name_H-M_alt 'P -1'
_space_group_IT_number 2
_cell_length_a 3.582
_cell_length_b 7.506
_cell_length_c 18.569
_cell_angle_alpha 89.47
_cell_angle_beta 90.00
_cell_angle_gamma 76.20
loop_
_space_group_symop_operation_xyz
'x,y,z'
'-x,-y,-z'
loop_
_atom_site_label
_atom_site_type_symbol
_atom_site_fract_x
_atom_site_fract_y
_atom_site_fract_z
Tb1 Tb 0.025 0.449 0.099
Tb2 Tb 0.088 0.325 0.280
Tb3 Tb 0.212 0.075 0.665
Tb4 Tb 0.274 0.950 0.844
Tb5 Tb 0.468 0.565 0.413
Ho1 Ho 0.160 0.181 0.463
Ho2 Ho 0.345 0.810 0.022
Cd1 Cd 0.408 0.687 0.217

# TbHoCd4 (PBE, relaxed)
# Calculated formation energy: -0.2276 eV per atom
# Energy: -2.372 eV per atom
# ΔE to the lowest computed polymorph: 87 meV per atom
# Total magnetization: 0.38 μB per formula unit
# D(E_F): 9.4 states/eV/cell
data_TbHoCd4
_chemical_formula_sum 'Tb2 Ho2 Cd8'
_space_group_name_H-M_alt 'C 1 2/m 1'
_space_group_IT_number 12
_cell_length_a 13.041
_cell_length_b 3.382
_cell_length_c 6.884
_cell_angle_alpha 90.00
_cell_angle_beta 105.25
_cell_angle_gamma 90.00
loop_
_space_group_symop_operation_xyz
'x,y,z'
'-x,-y,-z'
'-x,y,-z'
'x,-y,z'
'x+1/2,y+1/2,z'
'-x+1/2,-y+1/2,-z'
'-x+1/2,y+1/2,-z'
'x+1/2,-y+1/2,z'
loop_
_atom_site_label
_atom_site_type_symbol
_atom_site_fract_x
_atom_site_fract_y
_atom_site_fract_z
Tb1 Tb 0.000 0.000 0.000
Ho1 Ho 0.000 0.000 0.500
Cd1 Cd 0.173 0.500 0.338
Cd2 Cd 0.174 0.500 0.835

# TbHoCd3 (PBE, relaxed)
# Calculated formation energy: 0.2889 eV per atom
# Energy: -2.102 eV per atom
# ΔE to the lowest computed polymorph: 580 meV per atom
# Total magnetization: 0.00 μB per formula unit
# D(E_F): 20.6 states/eV/cell
data_TbHoCd3
_chemical_formula_sum 'Tb4 Ho4 Cd12'
_space_group_name_H-M_alt 'I -4 m 2'
_space_group_IT_number 119
_space_group_name_Hall 'I -4 -2'
_cell_length_a 5.719
_cell_length_b 5.719
_cell_length_c 21.816
_cell_angle_alpha 90.00
_cell_angle_beta 90.00
_cell_angle_gamma 90.00
loop_
_atom_site_label
_atom_site_type_symbol
_atom_site_fract_x
_atom_site_fract_y
_atom_site_fract_z
Tb1 Tb 0.000 0.000 0.000
Tb2 Tb 0.000 0.500 0.250
Ho1 Ho 0.000 0.000 0.417
Cd1 Cd 0.000 0.247 0.126
Cd2 Cd 0.000 0.500 0.530

ΔE to the lowest computed polymorph of number 2 (TbHoCd4)?
87 meV per atom

Among the records above, which one has the lowest energy?
Tb5Ho2Cd

Look up the total magnetization of the third one.
0.00 μB per formula unit

Copy entry 3 word for word.
# TbHoCd3 (PBE, relaxed)
# Calculated formation energy: 0.2889 eV per atom
# Energy: -2.102 eV per atom
# ΔE to the lowest computed polymorph: 580 meV per atom
# Total magnetization: 0.00 μB per formula unit
# D(E_F): 20.6 states/eV/cell
data_TbHoCd3
_chemical_formula_sum 'Tb4 Ho4 Cd12'
_space_group_name_H-M_alt 'I -4 m 2'
_space_group_IT_number 119
_space_group_name_Hall 'I -4 -2'
_cell_length_a 5.719
_cell_length_b 5.719
_cell_length_c 21.816
_cell_angle_alpha 90.00
_cell_angle_beta 90.00
_cell_angle_gamma 90.00
loop_
_atom_site_label
_atom_site_type_symbol
_atom_site_fract_x
_atom_site_fract_y
_atom_site_fract_z
Tb1 Tb 0.000 0.000 0.000
Tb2 Tb 0.000 0.500 0.250
Ho1 Ho 0.000 0.000 0.417
Cd1 Cd 0.000 0.247 0.126
Cd2 Cd 0.000 0.500 0.530